Computed, not measured: a relaxed structure of Nd6ErHg5 at the PBE level of DFT.

Values from the calculation:
DFT formation energy (meV/atom): -349
V (Å³ per cell): 692.25
Magnetization (Bohr magnetons per cell): 0.02

Cell: 5.371 7.849 16.423 Å, 90.00 90.00 90.00°
Space group Immm (No. 71)
Inequivalent atoms, fractional coordinates:
Nd: 0.000 0.229 0.000 [4 per cell]
Nd: 0.000 0.255 0.328 [8 per cell]
Er: 0.000 0.000 0.500 [2 per cell]
Hg: 0.000 0.000 0.169 [4 per cell]
Hg: 0.000 0.500 0.148 [4 per cell]
Hg: 0.000 0.500 0.500 [2 per cell]